Entry from Alexandria: a relaxed structure of ZrCoSnF2 (PBE with a Hubbard U).

The space group is P4/mmm (No. 123) and the conventional cell measures 4.141, 4.141 and 5.369 Å, with angles of 90.00, 90.00 and 90.00 degrees. The inequivalent atoms are Zr at (0.000, 0.000, 0.000), Co at (0.000, 0.000, 0.500), Sn at (0.500, 0.500, 0.500) and F at (0.000, 0.500, 0.000).

The volume is 18.413 Å³ per atom. For the total energy, the calculation gives -0.4082 Ry per atom. The value obtained for the density of states at the Fermi level is 2.67 states/eV per cell. The calculation puts the density at 5.5 g cm⁻³.